The following is a PBE-GGA calculation of crystalline ZrFeTe2 at its relaxed geometry, from Alexandria via LeMat-Bulk. Values from VASP.

```
&SYSTEM
  ibrav = 0, nat = 4, ntyp = 3
/
ATOMIC_SPECIES
Te 127.60 Te.upf
Zr 91.22 Zr.upf
Fe 55.84 Fe.upf
CELL_PARAMETERS angstrom
7.806 0.109 0.008
5.714 5.319 -0.008
-6.592 -3.132 2.770
ATOMIC_POSITIONS crystal
Te 0.118 0.118 0.000
Te 0.382 0.382 0.000
Zr 0.750 0.250 0.500
Fe 0.250 0.750 0.500
```

Computed properties:
Energy relative to the elements, uncorrected: -1.27 eV per formula unit
Raw total energy: -24.565 eV/cell
SG: Immm (71)
ρ: 5.90 g/cm³
Fermi-level density of states: 2.5 states/eV/cell



The following is a PBE-GGA calculation of crystalline LaHfSCl2 at its relaxed geometry, from Alexandria via LeMat-Bulk. Values from VASP.

```
&SYSTEM
  ibrav = 0, nat = 5, ntyp = 4
/
ATOMIC_SPECIES
La 138.91 La.upf
Cl 35.45 Cl.upf
S 32.06 S.upf
Hf 178.49 Hf.upf
CELL_PARAMETERS angstrom
5.494 0.000 0.000
0.000 5.494 0.000
0.000 0.000 5.627
ATOMIC_POSITIONS crystal
La 0.000 0.000 0.000
Cl 0.500 0.000 0.000
Cl 0.000 0.500 0.000
S 0.000 0.000 0.500
Hf 0.500 0.500 0.500
```

Computed properties:
Energy relative to the elements, uncorrected: -2.66 eV per formula unit
Raw total energy: -25.366 eV/cell
ΔE to the lowest computed polymorph: 611 meV per atom
SG: P4/mmm (123)
ρ: 4.11 g/cm³
Fermi-level density of states: 6.8 states/eV/cell



The following is a PBE-GGA calculation of crystalline CaIn2Ni at its relaxed geometry, from Alexandria via LeMat-Bulk. Values from VASP.

```
&SYSTEM
  ibrav = 0, nat = 4, ntyp = 3
/
ATOMIC_SPECIES
In 114.82 In.upf
Ni 58.69 Ni.upf
Ca 40.08 Ca.upf
CELL_PARAMETERS angstrom
4.352 0.000 0.000
0.000 3.884 0.025
0.000 1.705 5.624
ATOMIC_POSITIONS crystal
In 0.000 0.104 0.039
In 0.000 0.396 0.461
Ni 0.500 0.250 0.250
Ca 0.500 0.750 0.750
```

Computed properties:
Raw total energy: -13.743 eV/cell
SG: P2/m (10)
ρ: 5.75 g/cm³
Fermi-level density of states: 3.0 states/eV/cell
DFT formation energy: -12 kJ/mol of atoms



The following is a PBE-GGA calculation of crystalline CdGa8Ag6 at its relaxed geometry, from Alexandria via LeMat-Bulk. Values from VASP.

```
&SYSTEM
  ibrav = 0, nat = 15, ntyp = 3
/
ATOMIC_SPECIES
Ag 107.87 Ag.upf
Ga 69.72 Ga.upf
Cd 112.41 Cd.upf
CELL_PARAMETERS angstrom
7.894 0.000 0.000
3.947 6.837 0.000
3.947 2.279 5.322
ATOMIC_POSITIONS crystal
Ag 0.437 0.934 0.900
Ag 0.066 0.271 0.100
Ag 0.271 0.563 0.100
Ag 0.563 0.066 0.100
Ag 0.729 0.437 0.900
Ag 0.934 0.729 0.900
Ga 0.794 0.122 0.588
Ga 0.418 0.418 0.745
Ga 0.206 0.878 0.412
Ga 0.497 0.794 0.588
Ga 0.503 0.206 0.412
Ga 0.122 0.497 0.588
Ga 0.878 0.503 0.412
Ga 0.582 0.582 0.255
Cd 0.000 0.000 0.000
```

Computed properties:
Raw total energy: -41.867 eV/cell
ΔE to the lowest computed polymorph: 19 meV per atom
SG: R-3 (148)
ρ: 7.62 g/cm³
Fermi-level density of states: 4.1 states/eV/cell
DFT formation energy: 2 kJ/mol of atoms



The following is a PBE-GGA calculation of crystalline Cs2Sn2Br at its relaxed geometry, from Alexandria via LeMat-Bulk. Values from VASP.

```
&SYSTEM
  ibrav = 0, nat = 5, ntyp = 3
/
ATOMIC_SPECIES
Cs 132.91 Cs.upf
Sn 118.71 Sn.upf
Br 79.90 Br.upf
CELL_PARAMETERS angstrom
4.331 0.000 0.000
0.000 4.331 0.000
2.165 2.165 11.235
ATOMIC_POSITIONS crystal
Cs 0.405 0.405 0.190
Cs 0.595 0.595 0.810
Sn 0.250 0.750 0.500
Sn 0.750 0.250 0.500
Br 0.000 0.000 0.000
```

Computed properties:
Energy relative to the elements, uncorrected: -3.63 eV per formula unit
Raw total energy: -15.019 eV/cell
SG: I4/mmm (139)
ρ: 4.60 g/cm³
Fermi-level density of states: 1.9 states/eV/cell



The following is a PBE-GGA calculation of crystalline ZnTc3O at its relaxed geometry, from Alexandria via LeMat-Bulk. Values from VASP.

```
&SYSTEM
  ibrav = 0, nat = 5, ntyp = 3
/
ATOMIC_SPECIES
O 16.00 O.upf
Zn 65.41 Zn.upf
Tc 98.00 Tc.upf
CELL_PARAMETERS angstrom
4.768 0.000 0.000
0.000 4.768 0.000
0.000 0.000 4.768
ATOMIC_POSITIONS crystal
O 0.500 0.500 0.500
Zn 0.000 0.000 0.000
Tc 0.000 0.000 0.500
Tc 0.500 0.000 0.000
Tc 0.000 0.500 0.000
```

Computed properties:
Energy relative to the elements, uncorrected: 11.95 eV per formula unit
Raw total energy: -25.379 eV/cell
ΔE to the lowest computed polymorph: 2304 meV per atom
SG: Pm-3m (221)
ρ: 5.75 g/cm³
Fermi-level density of states: 4.3 states/eV/cell



The following is a PBE-GGA calculation of crystalline ScCuHIr2 at its relaxed geometry, from Alexandria via LeMat-Bulk. Values from VASP.

```
&SYSTEM
  ibrav = 0, nat = 5, ntyp = 4
/
ATOMIC_SPECIES
Cu 63.55 Cu.upf
Ir 192.22 Ir.upf
Sc 44.96 Sc.upf
H 1.01 H.upf
CELL_PARAMETERS angstrom
-2.864 -2.783 0.390
1.113 -1.635 -3.491
2.488 -2.299 1.870
ATOMIC_POSITIONS crystal
Cu 0.000 0.000 0.500
Ir 0.000 0.500 0.000
Ir 0.500 0.000 0.000
Sc 0.500 0.500 0.500
H 0.000 0.000 0.000
```

Computed properties:
Raw total energy: -33.367 eV/cell
ΔE to the lowest computed polymorph: 0 meV per atom
SG: P4/mmm (123)
ρ: 13.17 g/cm³
Fermi-level density of states: 4.1 states/eV/cell



The following is a PBE-GGA calculation of crystalline Ce2ThSn9 at its relaxed geometry, from Alexandria via LeMat-Bulk. Values from VASP.

```
&SYSTEM
  ibrav = 0, nat = 12, ntyp = 3
/
ATOMIC_SPECIES
Sn 118.71 Sn.upf
Ce 140.12 Ce.upf
Th 232.04 Th.upf
CELL_PARAMETERS angstrom
4.729 0.000 0.000
0.000 4.729 0.000
0.000 0.000 14.176
ATOMIC_POSITIONS crystal
Sn 0.500 0.000 0.500
Sn 0.500 0.500 0.665
Sn 0.500 0.500 0.335
Sn 0.000 0.500 0.831
Sn 0.500 0.000 0.169
Sn 0.000 0.500 0.500
Sn 0.500 0.500 0.000
Sn 0.500 0.000 0.831
Sn 0.000 0.500 0.169
Ce 0.000 0.000 0.334
Ce 0.000 0.000 0.666
Th 0.000 0.000 0.000
```

Computed properties:
Raw total energy: -61.430 eV/cell
SG: P4/mmm (123)
ρ: 8.28 g/cm³
Fermi-level density of states: 12.3 states/eV/cell
DFT formation energy: -49 kJ/mol of atoms



The following is a PBE-GGA calculation of crystalline Y2Th3Pt4 at its relaxed geometry, from Alexandria via LeMat-Bulk. Values from VASP.

```
&SYSTEM
  ibrav = 0, nat = 9, ntyp = 3
/
ATOMIC_SPECIES
Th 232.04 Th.upf
Pt 195.08 Pt.upf
Y 88.91 Y.upf
CELL_PARAMETERS angstrom
-2.776 -1.462 2.682
-2.800 -5.773 -2.868
4.529 -7.200 3.938
ATOMIC_POSITIONS crystal
Th 0.203 0.389 0.205
Th 0.000 0.000 0.000
Th 0.797 0.611 0.795
Pt 0.600 0.693 0.107
Pt 0.400 0.307 0.893
Pt 0.199 0.909 0.692
Pt 0.801 0.091 0.308
Y 0.599 0.206 0.597
Y 0.401 0.794 0.403
```

Computed properties:
Raw total energy: -68.755 eV/cell
SG: C2/m (12)
ρ: 11.10 g/cm³
Fermi-level density of states: 6.5 states/eV/cell
DFT formation energy: -101 kJ/mol of atoms



The following is a PBE-GGA calculation of crystalline Pa4Ir3Rh at its relaxed geometry, from Alexandria via LeMat-Bulk. Values from VASP.

```
&SYSTEM
  ibrav = 0, nat = 8, ntyp = 3
/
ATOMIC_SPECIES
Pa 231.04 Pa.upf
Ir 192.22 Ir.upf
Rh 102.91 Rh.upf
CELL_PARAMETERS angstrom
3.277 -0.728 -0.810
-1.804 7.514 0.662
-2.024 -0.993 7.421
ATOMIC_POSITIONS crystal
Pa 0.000 0.275 0.226
Pa 0.000 0.776 0.724
Pa 0.499 0.724 0.275
Pa 0.501 0.225 0.776
Ir 0.001 0.467 0.534
Ir 0.500 0.034 0.466
Ir 0.999 0.966 0.033
Rh 0.500 0.534 0.966
```

Computed properties:
Raw total energy: -78.034 eV/cell
SG: Amm2 (38)
ρ: 16.40 g/cm³
Fermi-level density of states: 7.6 states/eV/cell
DFT formation energy: -74 kJ/mol of atoms



The following is a PBE-GGA calculation of crystalline SmPtAu2 at its relaxed geometry, from Alexandria via LeMat-Bulk. Values from VASP.

```
&SYSTEM
  ibrav = 0, nat = 4, ntyp = 3
/
ATOMIC_SPECIES
Au 196.97 Au.upf
Pt 195.08 Pt.upf
Sm 150.36 Sm.upf
CELL_PARAMETERS angstrom
4.870 0.000 0.000
2.435 4.218 0.000
2.435 1.406 3.976
ATOMIC_POSITIONS crystal
Au 0.750 0.750 0.750
Au 0.250 0.250 0.250
Pt 0.500 0.500 0.500
Sm 0.000 0.000 0.000
```

Computed properties:
Raw total energy: -19.809 eV/cell
ΔE to the lowest computed polymorph: 142 meV per atom
SG: Fm-3m (225)
ρ: 15.03 g/cm³
Fermi-level density of states: 2.2 states/eV/cell
DFT formation energy: -60 kJ/mol of atoms



The following is a PBE-GGA calculation of crystalline BaReCl2 at its relaxed geometry, from Alexandria via LeMat-Bulk. Values from VASP.

```
&SYSTEM
  ibrav = 0, nat = 4, ntyp = 3
/
ATOMIC_SPECIES
Cl 35.45 Cl.upf
Re 186.21 Re.upf
Ba 137.33 Ba.upf
CELL_PARAMETERS angstrom
-1.027 2.278 -3.427
-1.079 -3.573 -2.052
-5.988 0.562 2.169
ATOMIC_POSITIONS crystal
Cl 0.500 0.500 0.293
Cl 0.000 0.000 0.993
Re 0.000 0.000 0.427
Ba 0.500 0.500 0.788
```

Computed properties:
Energy relative to the elements, uncorrected: 0.28 eV per formula unit
Raw total energy: -17.788 eV/cell
ΔE to the lowest computed polymorph: 214 meV per atom
SG: Pmm2 (25)
ρ: 5.67 g/cm³
Fermi-level density of states: 3.1 states/eV/cell



The following is a PBE-GGA calculation of crystalline LuBiSb at its relaxed geometry, from Alexandria via LeMat-Bulk. Values from VASP.

```
&SYSTEM
  ibrav = 0, nat = 3, ntyp = 3
/
ATOMIC_SPECIES
Lu 174.97 Lu.upf
Sb 121.76 Sb.upf
Bi 208.98 Bi.upf
CELL_PARAMETERS angstrom
-1.269 1.760 3.461
-2.480 -4.239 1.246
4.816 0.635 1.443
ATOMIC_POSITIONS crystal
Lu 0.166 0.333 0.667
Sb 0.167 0.000 0.000
Bi 0.667 0.667 0.333
```

Computed properties:
Energy relative to the elements, uncorrected: -0.62 eV per formula unit
Raw total energy: -13.144 eV/cell
SG: P-6m2 (187)
ρ: 9.25 g/cm³
Fermi-level density of states: 2.6 states/eV/cell



The following is a PBE-GGA calculation of crystalline KPaTc2O8 at its relaxed geometry, from Alexandria via LeMat-Bulk. Values from VASP.

```
&SYSTEM
  ibrav = 0, nat = 12, ntyp = 4
/
ATOMIC_SPECIES
Tc 98.00 Tc.upf
O 16.00 O.upf
Pa 231.04 Pa.upf
K 39.10 K.upf
CELL_PARAMETERS angstrom
5.971 0.000 0.000
-2.986 5.171 0.000
0.000 0.000 7.656
ATOMIC_POSITIONS crystal
Tc 0.667 0.333 0.230
Tc 0.333 0.667 0.770
O 0.832 0.165 0.325
O 0.168 0.835 0.675
O 0.165 0.333 0.675
O 0.667 0.832 0.675
O 0.333 0.667 0.997
O 0.835 0.667 0.325
O 0.667 0.333 0.003
O 0.333 0.168 0.325
Pa 0.000 0.000 0.500
K 0.000 0.000 0.000
```

Computed properties:
Energy relative to the elements, uncorrected: -23.81 eV per formula unit
Raw total energy: -94.797 eV/cell
SG: P-3 (147)
ρ: 4.17 g/cm³
Fermi-level density of states: 0.9 states/eV/cell



The following is a PBE-GGA calculation of crystalline Sm3Tm2Tl6 at its relaxed geometry, from Alexandria via LeMat-Bulk. Values from VASP.

```
&SYSTEM
  ibrav = 0, nat = 11, ntyp = 3
/
ATOMIC_SPECIES
Tl 204.38 Tl.upf
Sm 150.36 Sm.upf
Tm 168.93 Tm.upf
CELL_PARAMETERS angstrom
-0.466 2.874 3.810
-4.654 -1.121 0.276
5.765 -12.008 6.748
ATOMIC_POSITIONS crystal
Tl 0.617 0.117 0.233
Tl 0.883 0.383 0.767
Tl 0.306 0.306 0.611
Tl 0.383 0.883 0.767
Tl 0.694 0.694 0.389
Tl 0.117 0.617 0.233
Sm 0.198 0.198 0.397
Sm 0.000 0.000 0.000
Sm 0.802 0.802 0.603
Tm 0.447 0.447 0.893
Tm 0.553 0.553 0.107
```

Computed properties:
Raw total energy: -38.212 eV/cell
SG: I4/mmm (139)
ρ: 10.01 g/cm³
Fermi-level density of states: 8.3 states/eV/cell
DFT formation energy: -8 kJ/mol of atoms